Below is a relaxed structure of CaDyMgIr, with properties calculated at the PBE level.

a = 7.1248 Å, b = 7.1248 Å, c = 7.1248 Å
α = 90.00°, β = 90.00°, γ = 90.00°
Space group F-43m (No. 216)
Unique sites:
Ca  0.0000  0.0000  0.0000 (multiplicity 4)
Dy  0.0000  0.0000  0.5000 (multiplicity 4)
Mg  0.2500  0.2500  0.7500 (multiplicity 4)
Ir  0.2500  0.2500  0.2500 (multiplicity 4)

## Properties
energy of formation	-27	kJ per mole of atoms

Below is a relaxed structure of CaDyIrO6, with properties calculated at the PBE level.

a = 5.5513 Å, b = 5.5513 Å, c = 9.5859 Å
α = 90.00°, β = 90.00°, γ = 120.00°
Space group P-31c (No. 163)
Unique sites:
Ca  0.0000  0.0000  0.0000 (multiplicity 2)
Dy  0.3333  0.6667  0.2500 (multiplicity 2)
Ir  0.3333  0.6667  0.7500 (multiplicity 2)
O  0.0447  0.3810  0.6369 (multiplicity 12)

## Properties
uncorrected formation energy	-1.91	eV/atom

Below is a relaxed structure of CaDyIrPd, with properties calculated at the PBE level.

a = 6.9112 Å, b = 6.9112 Å, c = 6.9112 Å
α = 90.00°, β = 90.00°, γ = 90.00°
Space group F-43m (No. 216)
Unique sites:
Ca  0.0000  0.0000  0.0000 (multiplicity 4)
Dy  0.0000  0.0000  0.5000 (multiplicity 4)
Ir  0.2500  0.2500  0.2500 (multiplicity 4)
Pd  0.2500  0.2500  0.7500 (multiplicity 4)

## Properties
energy of formation	-66	kJ per mole of atoms

Below is a relaxed structure of CaDyIrPd, with properties calculated at the PBE level.

a = 3.4139 Å, b = 3.4139 Å, c = 7.2069 Å
α = 90.00°, β = 90.00°, γ = 90.00°
Space group P4mm (No. 99)
Unique sites:
Ca  0.0000  0.0000  0.0000 (multiplicity 1)
Dy  0.0000  0.0000  0.4844 (multiplicity 1)
Ir  0.5000  0.5000  0.2615 (multiplicity 1)
Pd  0.5000  0.5000  0.7271 (multiplicity 1)

## Properties
energy of formation	-66	kJ per mole of atoms

Below is a relaxed structure of CaPmDyIr, with properties calculated at the PBE level.

a = 7.3350 Å, b = 7.3350 Å, c = 7.3350 Å
α = 90.00°, β = 90.00°, γ = 90.00°
Space group F-43m (No. 216)
Unique sites:
Ca  0.0000  0.0000  0.0000 (multiplicity 4)
Pm  0.2500  0.2500  0.7500 (multiplicity 4)
Dy  0.2500  0.2500  0.2500 (multiplicity 4)
Ir  0.0000  0.0000  0.5000 (multiplicity 4)

## Properties
energy of formation	-15	kJ per mole of atoms

Below is a relaxed structure of CaDyTlIr, with properties calculated at the PBE level.

a = 7.2019 Å, b = 7.2019 Å, c = 7.2019 Å
α = 90.00°, β = 90.00°, γ = 90.00°
Space group F-43m (No. 216)
Unique sites:
Ca  0.0000  0.0000  0.0000 (multiplicity 4)
Dy  0.0000  0.0000  0.5000 (multiplicity 4)
Tl  0.2500  0.2500  0.2500 (multiplicity 4)
Ir  0.2500  0.2500  0.7500 (multiplicity 4)

## Properties
energy of formation	-35	kJ per mole of atoms

Below is a relaxed structure of KCaDySeO6, with properties calculated at the PBE level.

a = 8.0534 Å, b = 8.0534 Å, c = 8.0534 Å
α = 90.00°, β = 90.00°, γ = 90.00°
Space group F-43m (No. 216)
Unique sites:
K  0.0000  0.0000  0.0000 (multiplicity 4)
Ca  0.0000  0.0000  0.5000 (multiplicity 4)
Dy  0.2500  0.2500  0.2500 (multiplicity 4)
Se  0.2500  0.2500  0.7500 (multiplicity 4)
O  0.0238  0.2500  0.7500 (multiplicity 24)

## Properties
uncorrected formation energy	-1.99	eV/atom

Below is a relaxed structure of CaLa5Dy4, with properties calculated at the PBE level.

a = 3.6964 Å, b = 3.6964 Å, c = 25.8847 Å
α = 90.00°, β = 90.00°, γ = 90.00°
Space group P4/mmm (No. 123)
Unique sites:
Ca  0.0000  0.0000  0.0000 (multiplicity 1)
La  0.5000  0.5000  0.1107 (multiplicity 2)
La  0.5000  0.5000  0.3053 (multiplicity 2)
La  0.5000  0.5000  0.5000 (multiplicity 1)
Dy  0.0000  0.0000  0.2064 (multiplicity 2)
Dy  0.0000  0.0000  0.4024 (multiplicity 2)

## Properties
energy of formation	3	kJ per mole of atoms

Below is a relaxed structure of CaLa6Dy4, with properties calculated at the PBE level.

a = 6.6997 Å, b = 6.6997 Å, c = 17.2884 Å
α = 90.00°, β = 90.00°, γ = 90.00°
Space group I-42m (No. 121)
Unique sites:
Ca  0.0000  0.0000  0.0000 (multiplicity 2)
La  0.0000  0.5000  0.0000 (multiplicity 4)
La  0.1604  0.1604  0.3757 (multiplicity 8)
Dy  0.1804  0.1804  0.1850 (multiplicity 8)

## Properties
energy of formation	28	kJ per mole of atoms

Below is a relaxed structure of CaLaDy, with properties calculated at the PBE level.

a = 3.7280 Å, b = 3.7280 Å, c = 15.8021 Å
α = 90.00°, β = 90.00°, γ = 90.00°
Space group I4mm (No. 107)
Unique sites:
Ca  0.0000  0.0000  0.0000 (multiplicity 2)
La  0.0000  0.0000  0.6811 (multiplicity 2)
Dy  0.0000  0.0000  0.3305 (multiplicity 2)

## Properties
energy above the lowest structure with this stoichiometry	5	meV/atom
energy of formation	5	kJ per mole of atoms

Below is a relaxed structure of CaLa4Dy2, with properties calculated at the PBE level.

a = 3.6935 Å, b = 3.6935 Å, c = 63.9648 Å
α = 90.00°, β = 90.00°, γ = 120.00°
Space group R-3m (No. 166, hexagonal axes)
Unique sites:
Ca  0.0000  0.0000  0.0000 (multiplicity 3)
La  0.0000  0.0000  0.1428 (multiplicity 6)
La  0.0000  0.0000  0.2822 (multiplicity 6)
Dy  0.0000  0.0000  0.4294 (multiplicity 6)

## Properties
energy of formation	2	kJ per mole of atoms

Below is a relaxed structure of CaLa7Dy2, with properties calculated at the PBE level.

a = 9.2690 Å, b = 16.0240 Å, c = 5.9611 Å
α = 90.00°, β = 90.00°, γ = 90.00°
Space group Cmmm (No. 65)
Unique sites:
Ca  0.0000  0.0000  0.0000 (multiplicity 2)
La  0.0000  0.2535  0.0000 (multiplicity 4)
La  0.0000  0.5000  0.5000 (multiplicity 2)
La  0.1849  0.1197  0.5000 (multiplicity 8)
Dy  0.0000  0.2972  0.5000 (multiplicity 4)

## Properties
energy of formation	52	kJ per mole of atoms

Below is a relaxed structure of Ca2LaDy2, with properties calculated at the PBE level.

a = 9.5803 Å, b = 9.5803 Å, c = 3.9673 Å
α = 90.00°, β = 90.00°, γ = 90.00°
Space group P4/mbm (No. 127)
Unique sites:
Ca  0.1716  0.3284  0.0000 (multiplicity 4)
La  0.0000  0.0000  0.5000 (multiplicity 2)
Dy  0.1253  0.6253  0.5000 (multiplicity 4)

## Properties
energy of formation	20	kJ per mole of atoms

Below is a relaxed structure of CaLaDy, with properties calculated at the PBE level.

a = 3.6982 Å, b = 3.6982 Å, c = 9.2164 Å
α = 90.00°, β = 90.00°, γ = 120.00°
Space group P3m1 (No. 156)
Unique sites:
Ca  0.0000  0.0000  0.0000 (multiplicity 1)
La  0.3333  0.6667  0.6431 (multiplicity 1)
Dy  0.6667  0.3333  0.3360 (multiplicity 1)

## Properties
energy above the lowest structure with this stoichiometry	1	meV/atom
energy of formation	5	kJ per mole of atoms

Below is a relaxed structure of CaLaDy14, with properties calculated at the PBE level.

a = 11.3681 Å, b = 7.2759 Å, c = 12.6272 Å
α = 90.00°, β = 90.00°, γ = 90.00°
Space group Amm2 (No. 38)
Unique sites:
Ca  0.0000  0.0000  0.0000 (multiplicity 2)
La  0.0000  0.0000  0.4986 (multiplicity 2)
Dy  0.0000  0.2481  0.2498 (multiplicity 4)
Dy  0.2507  0.0000  0.3328 (multiplicity 4)
Dy  0.2538  0.0000  0.8313 (multiplicity 4)
Dy  0.2560  0.2478  0.5847 (multiplicity 8)
Dy  0.5000  0.0000  0.0001 (multiplicity 2)
Dy  0.5000  0.0000  0.5007 (multiplicity 2)
Dy  0.5000  0.2499  0.2500 (multiplicity 4)

## Properties
energy of formation	3	kJ per mole of atoms

Below is a relaxed structure of CaLa7Dy3, with properties calculated at the PBE level.

a = 11.8735 Å, b = 10.3648 Å, c = 6.6700 Å
α = 90.00°, β = 94.94°, γ = 90.00°
Space group C2/m (No. 12)
Unique sites:
Ca  0.0000  0.0000  0.0000 (multiplicity 2)
La  0.0000  0.0000  0.5000 (multiplicity 2)
La  0.2329  0.5000  0.7029 (multiplicity 4)
La  0.2473  0.3204  0.2426 (multiplicity 8)
Dy  0.0000  0.3351  0.5000 (multiplicity 4)
Dy  0.0000  0.5000  0.0000 (multiplicity 2)

## Properties
energy of formation	21	kJ per mole of atoms

Below is a relaxed structure of CaLa4Dy3, with properties calculated at the PBE level.

a = 3.5104 Å, b = 11.9170 Å, c = 13.4853 Å
α = 90.00°, β = 90.00°, γ = 90.00°
Space group Immm (No. 71)
Unique sites:
Ca  0.0000  0.0000  0.0000 (multiplicity 2)
La  0.0000  0.2495  0.1362 (multiplicity 8)
Dy  0.0000  0.0000  0.5000 (multiplicity 2)
Dy  0.0000  0.5000  0.2520 (multiplicity 4)

## Properties
energy of formation	12	kJ per mole of atoms

Below is a relaxed structure of CaLa2Dy3, with properties calculated at the PBE level.

a = 6.7385 Å, b = 6.7385 Å, c = 11.1627 Å
α = 90.00°, β = 90.00°, γ = 120.00°
Space group P-3m1 (No. 164)
Unique sites:
Ca  0.3333  0.6667  0.4358 (multiplicity 2)
La  0.0000  0.0000  0.0000 (multiplicity 1)
La  0.0000  0.0000  0.5000 (multiplicity 1)
La  0.3333  0.6667  0.0784 (multiplicity 2)
Dy  0.1678  0.3356  0.7560 (multiplicity 6)

## Properties
energy of formation	21	kJ per mole of atoms

Below is a relaxed structure of CaLaDy, with properties calculated at the PBE level.

a = 6.3878 Å, b = 3.6995 Å, c = 9.2492 Å
α = 90.00°, β = 90.16°, γ = 90.00°
Space group P2_1/m (No. 11)
Unique sites:
Ca  0.2458  0.2500  0.4964 (multiplicity 2)
La  0.4147  0.7500  0.8445 (multiplicity 2)
Dy  0.0820  0.7500  0.1514 (multiplicity 2)

## Properties
energy above the lowest structure with this stoichiometry	0	meV/atom
energy of formation	5	kJ per mole of atoms

Below is a relaxed structure of CaLa5Dy2, with properties calculated at the PBE level.

a = 6.1523 Å, b = 11.7355 Å, c = 16.5139 Å
α = 90.00°, β = 90.00°, γ = 90.00°
Space group Imma (No. 74)
Unique sites:
Ca  0.0000  0.2500  0.0942 (multiplicity 4)
La  0.0000  0.0637  0.8921 (multiplicity 8)
La  0.0000  0.0796  0.3053 (multiplicity 8)
La  0.0000  0.2500  0.5530 (multiplicity 4)
Dy  0.0000  0.0000  0.5000 (multiplicity 4)
Dy  0.2500  0.2500  0.7500 (multiplicity 4)

## Properties
energy of formation	21	kJ per mole of atoms